Model w:
VASP calculation (GGA-PBE) on crystalline TmHg3Pd6 at its relaxed geometry.

* calculated volume: 358 Å³/cell
* D(E_F): 2.85 states/eV/f.u.
* SG: No. 11
* total magnetization: 0.00 μB/f.u.

Cell and atoms, written as POSCAR:
```
TmHg3Pd6
1.0
4.298 0.000 0.000
0.000 8.686 -1.689
0.000 0.925 9.415
Tm Hg Pd
2 6 12
Cartesian
1.074 8.723 4.294
3.223 0.888 3.433
1.074 5.157 2.812
3.223 4.453 4.914
1.074 3.732 7.008
3.223 5.878 0.718
1.074 7.467 7.997
3.223 2.143 -0.271
1.074 4.016 0.175
3.223 5.595 7.551
1.074 1.502 1.709
3.223 8.108 6.017
1.074 6.212 5.483
3.223 3.398 2.243
1.074 2.595 4.338
3.223 7.016 3.388
1.074 7.698 1.404
3.223 1.912 6.323
1.074 1.306 8.462
3.223 8.304 -0.736
```

Model x:
VASP calculation (GGA-PBE) on crystalline TmHg3Pd6 at its relaxed geometry.

* calculated volume: 379 Å³/cell
* D(E_F): 2.56 states/eV/f.u.
* SG: No. 11
* total magnetization: 0.00 μB/f.u.

Cell and atoms, written as POSCAR:
```
TmHg3Pd6
1.0
4.199 0.000 0.000
0.000 10.864 -1.834
0.000 -5.921 9.310
Tm Hg Pd
2 6 12
Cartesian
3.149 -3.628 6.755
1.050 8.571 0.721
3.149 0.256 6.473
1.050 4.687 1.004
3.149 4.688 3.316
1.050 0.255 4.161
3.149 1.734 1.388
1.050 3.209 6.089
3.149 2.186 4.570
1.050 2.757 2.907
3.149 8.582 -1.229
1.050 -3.639 8.706
3.149 -1.569 8.544
1.050 6.512 -1.068
3.149 6.738 0.982
1.050 -1.795 6.495
3.149 -1.830 4.520
1.050 6.773 2.957
3.149 5.041 6.500
1.050 -0.098 0.977
```

Most stable structure among those shown: model w. Next: +0.093 eV/atom.